DFT (PBE) results for an optimized crystal structure of ZrScV2Ir.

Cell: 4.667 4.667 5.042 Å, 90.00 90.00 90.00°
Element x y z (fractional)
1 V 0.000 0.500 0.000
2 Sc 0.500 0.500 0.500
3 V 0.500 0.000 0.000
4 Ir 0.000 0.000 0.000
5 Zr 0.000 0.000 0.500

Calculated values
Symmetry   No. 123
Calculated formation energy   0.550 eV/atom

DFT (PBE) results for an optimized crystal structure of ScIrW2.

Cell: 5.235 5.235 5.235 Å, 143.71 127.60 65.40°
Element x y z (fractional)
1 Sc 0.252 0.752 0.500
2 W 0.754 0.254 0.500
3 Ir 0.508 0.508 0.000
4 W 0.986 0.986 0.000

Calculated values
Symmetry   No. 44
Calculated formation energy   0.007 eV/atom
Energy above the lowest structure with this stoichiometry   0.192 eV/atom

- calculated formation energy of number 1 (ZrScV2Ir)?
  0.550 eV/atom